Cs2K3MoO6, optimized geometry, DFT GGA+U; calculated volume = 250.3 Å³ per cell; VASP energy = -59.3 eV per formula unit
1.0
-5.526 -2.533 3.538
1.280 -1.974 -6.629
4.790 -2.906 3.047
Cs K Mo O
2 3 1 6
Direct
0.330 0.670 0.000
0.670 0.330 0.000
0.144 0.856 0.500
0.856 0.144 0.500
0.500 0.500 0.500
0.000 0.000 0.000
0.934 0.708 0.799
0.826 0.826 0.182
0.066 0.292 0.201
0.708 0.934 0.799
0.174 0.174 0.818
0.292 0.066 0.201